{"formula": "Bi2TePdO6", "functional": "GGA-PBE", "state": "optimized geometry", "lattice_angstrom": [[5.521, 0.000, 0.000], [-0.469, 5.651, 0.000], [-2.264, -2.545, 5.210]], "species": ["Bi", "Bi", "Te", "Pd", "O", "O", "O", "O", "O", "O"], "fractional_positions": [[0.000, 0.000, 0.000], [0.390, 0.468, 0.889], [0.725, 0.324, 0.424], [0.218, 0.748, 0.380], [0.040, 0.629, 0.582], [0.050, 0.058, 0.385], [0.372, 0.852, 0.167], [0.393, 0.442, 0.288], [0.694, 0.245, 0.081], [0.716, 0.615, 0.832]], "energy_ev_per_cell": -55.12, "formation_energy_uncorrected_mev_per_atom": -927}

{"formula": "ReCl", "functional": "GGA-PBE", "state": "optimized geometry", "lattice_angstrom": [[1.718, 0.992, 8.769], [-1.718, 0.992, 8.769], [0.000, -1.984, 8.769]], "species": ["Re", "Re", "Cl", "Cl"], "fractional_positions": [[0.193, 0.193, 0.193], [0.807, 0.807, 0.807], [0.402, 0.402, 0.402], [0.598, 0.598, 0.598]], "energy_ev_per_cell": -28.28, "formation_energy_uncorrected_mev_per_atom": 76, "e_above_lowest_polymorph_mev_per_atom": 187.5}

{"formula": "LuSnPt2", "functional": "GGA-PBE", "state": "optimized geometry", "lattice_angstrom": [[4.586, 0.000, 0.000], [0.000, 4.586, 0.000], [0.000, 0.000, 3.658]], "species": ["Lu", "Sn", "Pt", "Pt"], "fractional_positions": [[0.000, 0.000, 0.000], [0.500, 0.500, 0.000], [0.000, 0.500, 0.500], [0.500, 0.000, 0.500]], "energy_ev_per_cell": -24.17, "ef_ev_per_atom": -0.89}

{"formula": "HoTh2SiN5", "functional": "GGA-PBE", "state": "optimized geometry", "lattice_angstrom": [[6.657, 0.000, 0.000], [0.000, 6.657, 0.000], [0.000, 0.000, 5.767]], "species": ["Ho", "Ho", "Th", "Th", "Th", "Th", "Si", "Si", "N", "N", "N", "N", "N", "N", "N", "N", "N", "N"], "fractional_positions": [[0.000, 0.000, 0.000], [0.500, 0.500, 0.000], [0.178, 0.322, 0.500], [0.322, 0.822, 0.500], [0.678, 0.178, 0.500], [0.822, 0.678, 0.500], [0.000, 0.500, 0.000], [0.500, 0.000, 0.000], [0.000, 0.000, 0.500], [0.138, 0.638, 0.218], [0.138, 0.638, 0.782], [0.362, 0.138, 0.218], [0.362, 0.138, 0.782], [0.500, 0.500, 0.500], [0.638, 0.862, 0.218], [0.638, 0.862, 0.782], [0.862, 0.362, 0.218], [0.862, 0.362, 0.782]], "energy_ev_per_cell": -153.68, "formation_energy_uncorrected_mev_per_atom": -1153}